The following is a PBE-GGA calculation of a relaxed structure of P2BrCl, from Alexandria via LeMat-Bulk.

POSCAR file:
```
P2BrCl
1.0
7.156 -0.021 -0.061
-4.236 4.429 0.030
-1.316 0.907 2.681
Cl P Br
1 2 1
Direct
0.500 0.500 0.000
0.000 0.000 0.000
0.500 0.000 0.500
0.000 0.500 0.500
```

size of the total moment: 0.00 μB per cell
ΔE to the lowest computed polymorph: 905.6 meV/atom
symmetry: No. 12
E_form (uncorrected): 0.664 eV/atom
total energy: -2.92 eV/atom